(1)
Material: Ce2Y2Pt3
Method: DFT, PBE-GGA
State: relaxed

Values from the calculation:
- total magnetic moment (μB per formula unit) = 1.972
- energy relative to the elements (meV per atom) = -1009.6

Lattice parameters (Å, degrees): 7.6386 7.6386 7.6386 109.47 109.47 109.47
With the nearest neighbours (Å) after each atom.
Atoms (fractional coordinates):
Ce  0.5000  0.3788  0.5000  3 Pt 2.84
Ce  0.0000  0.0000  0.3788  3 Pt 2.84
Ce  0.6212  0.1212  0.1212  3 Pt 2.84
Ce  0.8788  0.5000  0.0000  3 Pt 2.84
Y  0.0000  0.0000  0.8736  6 Pt 2.88-3.20
Y  0.5000  0.8736  0.5000  6 Pt 2.88-3.20
Y  0.1264  0.6264  0.6264  6 Pt 2.88-3.20
Y  0.3736  0.5000  0.0000  6 Pt 2.88-3.20
Pt  0.7500  0.6324  0.3824  2 Ce 2.84, 2 Y 2.88
Pt  0.2500  0.8676  0.1176  2 Ce 2.84, 2 Y 2.88
Pt  0.6176  0.7500  0.8676  2 Ce 2.84, 2 Y 2.88
Pt  0.8824  0.2500  0.6324  2 Ce 2.84, 2 Y 2.88
Pt  0.3676  0.1176  0.7500  2 Ce 2.84, 2 Y 2.88
Pt  0.1324  0.3824  0.2500  2 Ce 2.84, 2 Y 2.88



(2)
Material: CeYPt10
Method: DFT, PBE-GGA
State: relaxed

Values from the calculation:
- total magnetic moment (μB per formula unit) = 0.435
- energy relative to the elements (meV per atom) = -703.6

Lattice parameters (Å, degrees): 4.4615 5.3855 9.2935 90.00 90.00 90.00
With the nearest neighbours (Å) after each atom.
Atoms (fractional coordinates):
Ce  0.0000  0.0000  0.0000  6 Pt 3.10-3.11
Y  0.0000  0.5000  0.5000  6 Pt 3.09-3.11
Pt  0.0000  0.0000  0.3336  6 Pt 2.71-2.72
Pt  0.0000  0.5000  0.8321  6 Pt 2.72
Pt  0.0000  0.5000  0.1679  6 Pt 2.72
Pt  0.0000  0.0000  0.6664  6 Pt 2.71-2.72
Pt  0.5000  0.0000  0.5000  8 Pt 2.68-2.71
Pt  0.5000  0.5000  0.0000  8 Pt 2.69-2.72
Pt  0.5000  0.2504  0.2510  8 Pt 2.68-2.72
Pt  0.5000  0.7496  0.7490  8 Pt 2.68-2.72
Pt  0.5000  0.7496  0.2510  8 Pt 2.68-2.72
Pt  0.5000  0.2504  0.7490  8 Pt 2.68-2.72



(3)
Material: CeY2Pt
Method: DFT, PBE-GGA
State: relaxed

Values from the calculation:
- total magnetic moment (μB per formula unit) = 1.164
- energy relative to the elements (meV per atom) = -622.7

Lattice parameters (Å, degrees): 6.5709 7.0869 9.7050 90.00 90.00 90.00
With the nearest neighbours (Å) after each atom.
Atoms (fractional coordinates):
Ce  0.6436  0.5288  0.2500  2 Pt 2.81-2.91
Ce  0.8564  0.0288  0.2500  2 Pt 2.81-2.91
Ce  0.3564  0.4712  0.7500  2 Pt 2.81-2.91
Ce  0.1436  0.9712  0.7500  2 Pt 2.81-2.91
Y  0.1699  0.6796  0.0617  2 Pt 2.90-2.93
Y  0.3301  0.1796  0.4383  2 Pt 2.90-2.93
Y  0.8301  0.3204  0.5617  2 Pt 2.90-2.93
Y  0.6699  0.8204  0.9383  2 Pt 2.90-2.93
Y  0.8301  0.3204  0.9383  2 Pt 2.90-2.93
Y  0.6699  0.8204  0.5617  2 Pt 2.90-2.93
Y  0.1699  0.6796  0.4383  2 Pt 2.90-2.93
Y  0.3301  0.1796  0.0617  2 Pt 2.90-2.93
Pt  0.0557  0.3794  0.2500  2 Ce 2.81-2.91, 4 Y 2.90-2.93
Pt  0.4443  0.8794  0.2500  2 Ce 2.81-2.91, 4 Y 2.90-2.93
Pt  0.9443  0.6206  0.7500  2 Ce 2.81-2.91, 4 Y 2.90-2.93
Pt  0.5557  0.1206  0.7500  2 Ce 2.81-2.91, 4 Y 2.90-2.93



(4)
Material: CeY2Pt
Method: DFT, PBE-GGA
State: relaxed

Values from the calculation:
- total magnetic moment (μB per formula unit) = 1.721
- energy relative to the elements (meV per atom) = -407.0

Lattice parameters (Å, degrees): 3.7974 3.7974 9.8495 78.89 78.89 60.00
With the nearest neighbours (Å) after each atom.
Atoms (fractional coordinates):
Y  0.2717  0.2717  0.1850  3 Pt 2.82
Y  0.7283  0.7283  0.8150  3 Pt 2.82
Ce  0.5000  0.5000  0.5000  6 Y 3.74, 6 Ce 3.80
Pt  0.0000  0.0000  0.0000  6 Y 2.82



(5)
Material: Ce2YPt9
Method: DFT, PBE-GGA
State: relaxed

Values from the calculation:
- total magnetic moment (μB per formula unit) = 0.993
- energy relative to the elements (meV per atom) = -901.5

Lattice parameters (Å, degrees): 5.4154 5.4154 9.5044 73.45 73.45 60.00
With the nearest neighbours (Å) after each atom.
Atoms (fractional coordinates):
Ce  0.8611  0.8611  0.4166  12 Pt 3.08-3.34
Ce  0.1389  0.1389  0.5834  12 Pt 3.08-3.34
Y  0.0000  0.0000  0.0000  6 Pt 3.13
Pt  0.6672  0.6672  0.9985  6 Pt 2.75-2.78
Pt  0.3328  0.3328  0.0015  6 Pt 2.75-2.78
Pt  0.5000  0.5000  0.5000  6 Pt 2.71
Pt  0.4137  0.4137  0.2541  7 Pt 2.68-2.78
Pt  0.9185  0.4137  0.2541  7 Pt 2.68-2.78
Pt  0.4137  0.9185  0.2541  7 Pt 2.68-2.78
Pt  0.5863  0.5863  0.7459  7 Pt 2.68-2.78
Pt  0.5863  0.0815  0.7459  7 Pt 2.68-2.78
Pt  0.0815  0.5863  0.7459  7 Pt 2.68-2.78



(6)
Material: Ce2YPt
Method: DFT, PBE-GGA
State: relaxed

Values from the calculation:
- total magnetic moment (μB per formula unit) = 2.241
- energy relative to the elements (meV per atom) = -193.0

Lattice parameters (Å, degrees): 3.6718 3.6718 10.4923 79.92 79.92 60.00
With the nearest neighbours (Å) after each atom.
Atoms (fractional coordinates):
Y  0.0000  0.0000  0.0000  2 Ce 3.21
Ce  0.1040  0.1040  0.6880  3 Pt 2.87, 1 Y 3.21
Ce  0.8960  0.8960  0.3120  3 Pt 2.87, 1 Y 3.21
Pt  0.5000  0.5000  0.5000  6 Ce 2.87



(7)
Material: Ce2YPt9
Method: DFT, PBE-GGA
State: relaxed

Values from the calculation:
- total magnetic moment (μB per formula unit) = 0.160
- energy relative to the elements (meV per atom) = -1005.4

Lattice parameters (Å, degrees): 4.1567 4.1567 12.4537 90.00 90.00 90.00
With the nearest neighbours (Å) after each atom.
Atoms (fractional coordinates):
Ce  0.0000  0.0000  0.3315  12 Pt 2.92-2.95
Ce  0.0000  0.0000  0.6685  12 Pt 2.92-2.95
Y  0.0000  0.0000  0.0000  12 Pt 2.94
Pt  0.5000  0.5000  0.0000  4 Y 2.94, 8 Pt 2.94
Pt  0.5000  0.5000  0.3327  8 Pt 2.93-2.94, 4 Ce 2.94
Pt  0.5000  0.5000  0.6673  8 Pt 2.93-2.94, 4 Ce 2.94
Pt  0.5000  0.0000  0.1673  2 Ce 2.92, 8 Pt 2.93-2.94, 2 Y 2.94
Pt  0.5000  0.0000  0.5000  8 Pt 2.94, 4 Ce 2.95
Pt  0.5000  0.0000  0.8327  2 Ce 2.92, 8 Pt 2.93-2.94, 2 Y 2.94
Pt  0.0000  0.5000  0.1673  2 Ce 2.92, 8 Pt 2.93-2.94, 2 Y 2.94
Pt  0.0000  0.5000  0.5000  8 Pt 2.94, 4 Ce 2.95
Pt  0.0000  0.5000  0.8327  2 Ce 2.92, 8 Pt 2.93-2.94, 2 Y 2.94



(8)
Material: Ce2YPt2
Method: DFT, PBE-GGA
State: relaxed

Values from the calculation:
- total magnetic moment (μB per formula unit) = 0.886
- energy relative to the elements (meV per atom) = -924.5

Lattice parameters (Å, degrees): 3.8881 7.9430 7.9430 90.00 90.00 90.00
With the nearest neighbours (Å) after each atom.
Atoms (fractional coordinates):
Ce  0.0000  0.6655  0.3345  6 Pt 2.96-3.09
Ce  0.0000  0.8345  0.8345  6 Pt 2.96-3.09
Ce  0.0000  0.1655  0.1655  6 Pt 2.96-3.09
Ce  0.0000  0.3345  0.6655  6 Pt 2.96-3.09
Y  0.5000  0.5000  0.0000  4 Pt 3.09
Y  0.5000  0.0000  0.5000  4 Pt 3.09
Pt  0.5000  0.3637  0.3637  6 Ce 2.96-3.09, 1 Pt 3.06, 2 Y 3.09
Pt  0.5000  0.8637  0.1363  6 Ce 2.96-3.09, 1 Pt 3.06, 2 Y 3.09
Pt  0.5000  0.1363  0.8637  6 Ce 2.96-3.09, 1 Pt 3.06, 2 Y 3.09
Pt  0.5000  0.6363  0.6363  6 Ce 2.96-3.09, 1 Pt 3.06, 2 Y 3.09



(9)
Material: CeZn3Pt2
Method: DFT, PBE-GGA
State: relaxed

Values from the calculation:
- total magnetic moment (μB per formula unit) = 0.667
- energy relative to the elements (meV per atom) = -650.6

Lattice parameters (Å, degrees): 4.0919 8.7905 9.9281 105.63 90.00 103.46
With the nearest neighbours (Å) after each atom.
Atoms (fractional coordinates):
Ce  0.1659  0.3317  0.7194  6 Pt 3.06-3.29, 5 Zn 3.21-3.42
Ce  0.8341  0.6683  0.2806  6 Pt 3.06-3.29, 5 Zn 3.21-3.42
Ce  0.0000  0.0000  0.0000  6 Pt 3.08-3.34, 6 Zn 3.29-3.37
Zn  0.0463  0.0927  0.3524  4 Pt 2.62-2.68, 3 Zn 2.71-2.76
Zn  0.9537  0.9073  0.6476  4 Pt 2.62-2.68, 3 Zn 2.71-2.76
Zn  0.2104  0.4207  0.4028  4 Pt 2.52-2.61, 1 Zn 2.71
Zn  0.7896  0.5793  0.5972  4 Pt 2.52-2.61, 1 Zn 2.71
Zn  0.6269  0.2539  0.2138  4 Pt 2.61-2.70, 3 Zn 2.73-2.87
Zn  0.3731  0.7461  0.7862  4 Pt 2.61-2.70, 3 Zn 2.73-2.87
Zn  0.5000  0.0000  0.5000  2 Pt 2.43
Zn  0.3273  0.6547  0.0289  4 Pt 2.59-2.66, 1 Zn 2.73
Zn  0.6727  0.3453  0.9711  4 Pt 2.59-2.66, 1 Zn 2.73
Pt  0.2020  0.4040  0.1386  6 Zn 2.59-2.66
Pt  0.7980  0.5960  0.8614  6 Zn 2.59-2.66
Pt  0.4687  0.9374  0.2112  5 Zn 2.59-2.77
Pt  0.5313  0.0626  0.7888  5 Zn 2.59-2.77
Pt  0.3614  0.7229  0.5188  7 Zn 2.43-2.68
Pt  0.6386  0.2771  0.4812  7 Zn 2.43-2.68



(10)
Material: CeZn4Pt2
Method: DFT, PBE-GGA
State: relaxed

Values from the calculation:
- total magnetic moment (μB per formula unit) = 0.933
- energy relative to the elements (meV per atom) = -634.2

Lattice parameters (Å, degrees): 4.2880 7.5892 7.5892 90.00 90.00 90.00
With the nearest neighbours (Å) after each atom.
Atoms (fractional coordinates):
Ce  0.5000  0.0000  0.0000  6 Pt 3.03-3.17, 4 Zn 3.27
Ce  0.0000  0.5000  0.5000  6 Pt 3.03-3.17, 4 Zn 3.27
Zn  0.0000  0.0957  0.3509  3 Pt 2.59-2.62, 6 Zn 2.69-2.87
Zn  0.0000  0.9043  0.6491  3 Pt 2.59-2.62, 6 Zn 2.69-2.87
Zn  0.5000  0.1491  0.5957  3 Pt 2.59-2.62, 6 Zn 2.69-2.87
Zn  0.5000  0.8509  0.4043  3 Pt 2.59-2.62, 6 Zn 2.69-2.87
Zn  0.5000  0.4043  0.8509  3 Pt 2.59-2.62, 6 Zn 2.69-2.87
Zn  0.5000  0.5957  0.1491  3 Pt 2.59-2.62, 6 Zn 2.69-2.87
Zn  0.0000  0.3509  0.0957  3 Pt 2.59-2.62, 6 Zn 2.69-2.87
Zn  0.0000  0.6491  0.9043  3 Pt 2.59-2.62, 6 Zn 2.69-2.87
Pt  0.0000  0.2179  0.7821  6 Zn 2.59-2.62
Pt  0.0000  0.7821  0.2179  6 Zn 2.59-2.62
Pt  0.5000  0.7179  0.7179  6 Zn 2.59-2.62
Pt  0.5000  0.2821  0.2821  6 Zn 2.59-2.62



(11)
Material: Ce2ZnPt
Method: DFT, PBE-GGA
State: relaxed

Values from the calculation:
- total magnetic moment (μB per formula unit) = 0.001
- energy relative to the elements (meV per atom) = -578.4

Lattice parameters (Å, degrees): 4.2533 4.5017 4.5017 90.00 90.00 90.00
With the nearest neighbours (Å) after each atom.
Atoms (fractional coordinates):
Zn  0.5000  0.0000  0.0000  8 Ce 3.10, 4 Pt 3.18
Ce  0.0000  0.0000  0.5000  4 Pt 3.10, 4 Zn 3.10, 4 Ce 3.18
Ce  0.0000  0.5000  0.0000  4 Pt 3.10, 4 Zn 3.10, 4 Ce 3.18
Pt  0.5000  0.5000  0.5000  8 Ce 3.10, 4 Zn 3.18



Total energy values, unit eV/atom, following the record order: -7.1408 -6.7708 -6.8484 -6.6327 -6.9597 -6.2862 -7.0636 -7.0072 -4.2902 -3.9358 -5.3741.